Record 1
DFT (GGA-PBE) results for a relaxed structure of RbMgI2.

a b c (Å): 6.048 6.048 6.048
angles (deg): 60.00 60.00 60.00
Element x y z (fractional)
I1 0.250 0.250 0.250
I2 0.750 0.750 0.750
Mg1 0.000 0.000 0.000
Rb1 0.500 0.500 0.500

Space-group type ... No. 225
Relative energy among the computed polymorphs ... 96 meV per atom
Formation energy from raw total energies ... -16.7 kcal/mol of atoms

=====

Record 2
DFT (GGA-PBE) results for a relaxed structure of Er2TmTh.

a b c (Å): 5.617 5.617 5.617
angles (deg): 60.00 60.00 60.00
Element x y z (fractional)
Tm1 0.500 0.500 0.500
Th1 0.000 0.000 0.000
Er1 0.250 0.250 0.250
Er2 0.750 0.750 0.750

Space-group type ... No. 225
Relative energy among the computed polymorphs ... 153 meV per atom
Energy relative to the elements ... 0.14 eV per atom

=====

Record 3
DFT (GGA-PBE) results for a relaxed structure of NaPu6S8.

a b c (Å): 7.903 7.903 7.903
angles (deg): 60.00 60.00 60.00
Element x y z (fractional)
Na1 0.000 0.000 0.000
Pu1 0.000 0.500 0.500
Pu2 0.500 0.000 0.000
Pu3 0.500 0.500 0.000
Pu4 0.000 0.000 0.500
Pu5 0.000 0.500 0.000
Pu6 0.500 0.000 0.500
S1 0.750 0.750 0.750
S2 0.250 0.250 0.250
S3 0.748 0.252 0.252
S4 0.252 0.748 0.748
S5 0.252 0.252 0.748
S6 0.748 0.748 0.252
S7 0.748 0.252 0.748
S8 0.252 0.748 0.252

Space-group type ... No. 225
Formation energy from raw total energies ... -38.1 kcal/mol of atoms

=====

Record 4
DFT (GGA-PBE) results for a relaxed structure of YNiPb.

a b c (Å): 6.167 6.167 3.417
angles (deg): 73.92 73.91 32.17
Element x y z (fractional)
Ni1 0.998 0.998 0.002
Pb1 0.359 0.359 0.641
Y1 0.643 0.643 0.357

Space-group type ... No. 107
Energy relative to the elements ... -0.21 eV per atom

=====

Record 5
DFT (GGA-PBE) results for a relaxed structure of LiInSb2H.

a b c (Å): 5.583 3.332 5.583
angles (deg): 90.00 90.00 90.00
Element x y z (fractional)
Sb1 0.000 0.000 0.500
Sb2 0.500 0.000 0.000
Li1 0.000 0.000 0.000
H1 0.000 0.500 0.000
In1 0.500 0.500 0.500

Space-group type ... No. 123
Calculated total energy ... -3.030 eV/atom

=====

Record 6
DFT (GGA-PBE) results for a relaxed structure of MgMoPb2.

a b c (Å): 3.550 3.550 7.444
angles (deg): 90.00 90.00 90.00
Element x y z (fractional)
Mg1 0.000 0.000 0.540
Mo1 0.500 0.500 0.743
Pb1 0.000 0.000 0.936
Pb2 0.500 0.500 0.281

Space-group type ... No. 99
Energy relative to the elements ... 0.49 eV per atom

=====

Record 7
DFT (GGA-PBE) results for a relaxed structure of RbRePt2.

a b c (Å): 4.759 4.759 4.759
angles (deg): 60.00 60.00 60.00
Element x y z (fractional)
Re1 0.500 0.500 0.500
Rb1 0.000 0.000 0.000
Pt1 0.250 0.250 0.250
Pt2 0.750 0.750 0.750

Space-group type ... No. 225
Energy relative to the elements ... 1.29 eV per atom

=====

Record 8
DFT (GGA-PBE) results for a relaxed structure of AsAu2Br6.

a b c (Å): 8.093 9.684 9.684
angles (deg): 95.86 78.62 78.62
Element x y z (fractional)
As1 0.250 0.109 0.891
As2 0.750 0.891 0.109
Au1 0.269 0.695 0.770
Au2 0.231 0.230 0.305
Au3 0.731 0.305 0.230
Au4 0.769 0.770 0.695
Br1 0.545 0.625 0.598
Br2 0.955 0.402 0.375
Br3 0.455 0.375 0.402
Br4 0.045 0.598 0.625
Br5 0.801 0.917 0.341
Br6 0.699 0.659 0.083
Br7 0.199 0.083 0.659
Br8 0.301 0.341 0.917
Br9 0.104 0.796 0.015
Br10 0.396 0.985 0.204
Br11 0.896 0.204 0.985
Br12 0.604 0.015 0.796

Space-group type ... No. 15
Formation energy from raw total energies ... -4.1 kcal/mol of atoms